KZnCl2: relaxed, GGA-PBE.

Properties
Formation energy without anion corrections   -94 kJ/mol of atoms
Crystal system   orthorhombic
Space group   Immm

Unit cell a=5.544 b=5.544 c=5.544 alpha=133.11 beta=107.52 gamma=90.90
Sites, in units of the cell vectors:
1 Zn 0.250 0.750 0.500
2 K 0.750 0.250 0.500
3 Cl 0.045 0.045 0.000
4 Cl 0.455 0.455 0.000